# 1
The following is a DFT calculation (SCAN) of a PBEsol-optimized structure of YIOF2.

Calculated values
formation energy from raw total energies: -3.95 eV/f.u.
magnetic moment: 0.000 μB/atom
excess energy over the best structure of this formula in the dataset: 1.764 eV per atom
D(E_F): 2.96 states/eV per cell

abc: 5.0463 5.0463 3.9693
angles: 90.00 90.00 90.00
Space group P4/mmm (No. 123)
Unique sites:
Y (0.0000, 0.0000, 0.0000) (multiplicity 1)
I (0.5000, 0.5000, 0.5000) (multiplicity 1)
O (0.5000, 0.5000, 0.0000) (multiplicity 1)
F (0.0000, 0.5000, 0.5000) (multiplicity 2)

# 2
The following is a DFT calculation (SCAN) of a PBEsol-optimized structure of YIOF2.

Calculated values
formation energy from raw total energies: -12.77 eV/f.u.
magnetic moment: 0.000 μB/atom
excess energy over the best structure of this formula in the dataset: 0.000 eV per atom
D(E_F): 1.67 states/eV per cell

abc: 4.2608 4.2608 4.7372
angles: 90.00 90.00 90.00
Space group P4/mmm (No. 123)
Unique sites:
Y (0.0000, 0.0000, 0.0000) (multiplicity 1)
I (0.5000, 0.5000, 0.5000) (multiplicity 1)
O (0.0000, 0.0000, 0.5000) (multiplicity 1)
F (0.0000, 0.5000, 0.0000) (multiplicity 2)

# 3
The following is a DFT calculation (SCAN) of a PBEsol-optimized structure of ZrIO2F.

Calculated values
formation energy from raw total energies: -0.03 eV/f.u.
magnetic moment: 0.021 μB/atom
D(E_F): 2.54 states/eV per cell

abc: 4.3292 4.3292 3.8194
angles: 90.00 90.00 90.00
Space group P4/mmm (No. 123)
Unique sites:
Zr (0.0000, 0.0000, 0.0000) (multiplicity 1)
I (0.5000, 0.5000, 0.0000) (multiplicity 1)
O (0.0000, 0.5000, 0.5000) (multiplicity 2)
F (0.5000, 0.5000, 0.5000) (multiplicity 1)

# 4
The following is a DFT calculation (SCAN) of a PBEsol-optimized structure of Os3IF.

Calculated values
formation energy from raw total energies: 14.52 eV/f.u.
magnetic moment: 0.520 μB/atom
D(E_F): 4.26 states/eV per cell

abc: 4.8183 4.8183 4.8183
angles: 90.00 90.00 90.00
Space group Pm-3m (No. 221)
Unique sites:
Os (0.0000, 0.0000, 0.5000) (multiplicity 3)
I (0.0000, 0.0000, 0.0000) (multiplicity 1)
F (0.5000, 0.5000, 0.5000) (multiplicity 1)

# 5
The following is a DFT calculation (SCAN) of a PBEsol-optimized structure of OsW2IF.

Calculated values
formation energy from raw total energies: 12.00 eV/f.u.
magnetic moment: 0.251 μB/atom
D(E_F): 5.35 states/eV per cell

abc: 4.8864 4.8864 3.9152
angles: 90.00 90.00 90.00
Space group P4/mmm (No. 123)
Unique sites:
Os (0.0000, 0.0000, 0.0000) (multiplicity 1)
W (0.0000, 0.5000, 0.5000) (multiplicity 2)
I (0.5000, 0.5000, 0.5000) (multiplicity 1)
F (0.5000, 0.5000, 0.0000) (multiplicity 1)

# 6
The following is a DFT calculation (SCAN) of a PBEsol-optimized structure of PS2IF.

Calculated values
formation energy from raw total energies: 4.34 eV/f.u.
magnetic moment: 0.000 μB/atom
D(E_F): 3.52 states/eV per cell

abc: 5.1780 5.1780 3.5874
angles: 90.00 90.00 90.00
Space group P4/mmm (No. 123)
Unique sites:
P (0.0000, 0.0000, 0.0000) (multiplicity 1)
S (0.0000, 0.5000, 0.5000) (multiplicity 2)
I (0.5000, 0.5000, 0.0000) (multiplicity 1)
F (0.0000, 0.0000, 0.5000) (multiplicity 1)

# 7
The following is a DFT calculation (SCAN) of a PBEsol-optimized structure of PbIF3.

Calculated values
formation energy from raw total energies: -3.57 eV/f.u.
magnetic moment: 0.000 μB/atom
D(E_F): 1.41 states/eV per cell

abc: 4.7372 4.7372 4.7372
angles: 90.00 90.00 90.00
Space group Pm-3m (No. 221)
Unique sites:
Pb (0.0000, 0.0000, 0.0000) (multiplicity 1)
I (0.5000, 0.5000, 0.5000) (multiplicity 1)
F (0.0000, 0.5000, 0.5000) (multiplicity 3)

# 8
The following is a DFT calculation (SCAN) of a PBEsol-optimized structure of PbIF2.

Calculated values
formation energy from raw total energies: -5.96 eV/f.u.
magnetic moment: 0.127 μB/atom
excess energy over the best structure of this formula in the dataset: 0.000 eV per atom
D(E_F): 2.95 states/eV per cell

abc: 3.7053 3.7053 29.7864
angles: 90.00 90.00 120.00
Space group R-3m (No. 166, hexagonal axes)
Unique sites:
Pb (0.0000, 0.0000, 0.0000) (multiplicity 3)
I (0.0000, 0.0000, 0.5000) (multiplicity 3)
F (0.0000, 0.0000, 0.3722) (multiplicity 6)